1.
The following is a GGA-PBE calculation of an optimized crystal structure of Ni2Bi3Te, from Alexandria via LeMat-Bulk.

```
Ni2Bi3Te
1.0
-1.824 -3.544 0.633
3.118 -2.666 6.922
-6.637 2.258 6.390
Ni Bi Te
4 6 2
Cartesian
-4.796 -0.305 10.207
-0.546 -3.647 3.738
-2.314 -3.871 10.254
-3.028 -0.080 3.691
-2.264 -1.389 11.430
-3.079 -2.562 2.516
-6.211 -0.005 7.809
0.869 -3.947 6.137
-3.998 -1.494 5.848
-1.345 -2.458 8.098
-4.688 -2.791 9.467
-0.655 -1.161 4.478
```

The calculation puts the final energy at -26.7 eV per formula unit. The value obtained for the magnetization is 0.00 μB/f.u. The symmetry is C2/m. The energy relative to the elements, uncorrected is -0.06 eV per atom.

2.
The following is a GGA-PBE calculation of an optimized crystal structure of NiBiTe2, from Alexandria via LeMat-Bulk.

```
NiBiTe2
1.0
-6.189 -9.011 6.114
-6.027 -10.496 3.222
-3.560 -10.762 5.328
Ni Te Bi
1 2 1
Cartesian
0.000 0.000 0.000
-14.738 -28.278 13.699
-1.038 -1.991 0.965
-7.888 -15.135 7.332
```

The calculation puts the final energy at -14.4 eV per formula unit. The value obtained for the magnetization is 0.41 μB/f.u. The symmetry is R-3m. The energy relative to the elements, uncorrected is 0.40 eV per atom.

3.
The following is a GGA-PBE calculation of an optimized crystal structure of Ni2Bi2Te, from Alexandria via LeMat-Bulk.

```
Ni2Bi2Te
1.0
-2.327 -2.282 4.548
6.248 1.935 0.725
-3.093 5.853 1.354
Ni Bi Te
4 4 2
Cartesian
1.056 2.544 4.424
1.883 0.588 0.424
-0.228 2.961 2.204
-1.055 4.917 6.204
0.361 0.273 2.992
2.535 2.817 1.939
0.467 5.232 3.635
-1.707 2.688 4.689
-2.900 -0.622 4.496
-2.520 4.193 1.407
```

The calculation puts the final energy at -22.4 eV per formula unit. The value obtained for the magnetization is 0.00 μB/f.u. The value obtained for the energy above the most stable polymorph in this dataset is 0.00 eV per formula unit. The symmetry is C2/c. The energy relative to the elements, uncorrected is 0.01 eV per atom.

4.
The following is a GGA-PBE calculation of an optimized crystal structure of NiBiTe, from Alexandria via LeMat-Bulk.

```
NiBiTe
1.0
-3.382 -3.248 0.074
-1.511 -1.718 4.094
-4.279 1.105 1.571
Ni Te Bi
1 1 1
Cartesian
-2.293 -0.965 1.435
-4.586 -1.931 2.869
0.000 0.000 0.000
```

The calculation puts the final energy at -12.8 eV per formula unit. The value obtained for the magnetization is 0.00 μB/f.u. The symmetry is F-43m. The energy relative to the elements, uncorrected is 0.02 eV per atom.

5.
The following is a GGA-PBE calculation of an optimized crystal structure of NiBi3Te, from Alexandria via LeMat-Bulk.

```
NiBi3Te
1.0
5.818 0.000 0.000
0.000 5.818 0.000
0.000 0.000 5.818
Ni Te Bi
1 1 3
Cartesian
2.909 2.909 2.909
0.000 0.000 0.000
0.000 2.909 0.000
0.000 0.000 2.909
2.909 0.000 0.000
```

The calculation puts the final energy at -14.1 eV per formula unit. The value obtained for the magnetization is 0.00 μB/f.u. The value obtained for the energy above the most stable polymorph in this dataset is 6.79 eV per formula unit. The symmetry is Pm-3m. The energy relative to the elements, uncorrected is 1.29 eV per atom.

6.
The following is a GGA-PBE calculation of an optimized crystal structure of Ni2Bi2Te, from Alexandria via LeMat-Bulk.

```
Ni2Bi2Te
1.0
7.353 0.000 0.000
0.000 7.353 0.000
0.000 0.000 3.935
Ni Te Bi
4 2 4
Cartesian
2.759 6.436 0.000
6.436 4.593 0.000
4.593 0.917 0.000
0.917 2.759 0.000
0.000 0.000 0.000
3.676 3.676 0.000
1.158 4.834 1.967
4.834 6.195 1.967
6.195 2.519 1.967
2.519 1.158 1.967
```

The calculation puts the final energy at -21.8 eV per formula unit. The value obtained for the magnetization is 0.00 μB/f.u. The value obtained for the energy above the most stable polymorph in this dataset is 0.61 eV per formula unit. The symmetry is P4/mbm. The energy relative to the elements, uncorrected is 0.13 eV per atom.

7.
The following is a GGA-PBE calculation of an optimized crystal structure of NiBi3Te, from Alexandria via LeMat-Bulk.

```
NiBi3Te
1.0
-4.001 -0.608 -1.081
2.334 -0.983 -8.087
-0.400 -7.539 5.720
Ni Bi Te
2 6 2
Cartesian
-1.618 -1.661 -5.255
-0.450 -7.469 1.807
0.286 -2.756 -3.567
-2.353 -6.374 0.119
-1.175 -5.212 3.223
-2.419 -0.805 -2.770
-0.892 -3.918 -6.670
0.352 -8.324 -0.678
-1.445 -6.545 -3.148
-0.623 -2.585 -0.300
```

The calculation puts the final energy at -20.9 eV per formula unit. The value obtained for the magnetization is 0.00 μB/f.u. The value obtained for the energy above the most stable polymorph in this dataset is 0.00 eV per formula unit. The symmetry is P2_1/m. The energy relative to the elements, uncorrected is -0.07 eV per atom.

8.
The following is a GGA-PBE calculation of an optimized crystal structure of NiBiTe2, from Alexandria via LeMat-Bulk.

```
NiBiTe2
1.0
6.549 0.000 0.000
0.000 6.549 0.000
3.274 3.274 6.001
Ni Te Bi
2 4 2
Cartesian
3.274 3.274 0.000
3.274 6.549 3.000
4.395 1.637 1.500
2.154 4.911 1.500
4.911 5.428 4.501
8.186 7.669 4.501
0.000 0.000 0.000
6.549 3.274 3.000
```

The calculation puts the final energy at -16.0 eV per formula unit. The value obtained for the magnetization is 0.00 μB/f.u. The symmetry is I-42d. The energy relative to the elements, uncorrected is -0.01 eV per atom.

Results for Fermi-level density of states: 0.545, 0.723, 0.619, 0.339, 1.869, 0.475, 0.436, 0.622 (in states/eV per atom, following the order of the records).